{"formula": "NiMoO3", "functional": "GGA+U", "state": "relaxed", "energy_ev_per_atom": -5.35, "magnetic_moment_mub_per_atom": 0.00, "spacegroup": "Pm-3m", "cell": [[3.8977, 0.0000, 0.0000], [0.0000, 3.8977, 0.0000], [0.0000, 0.0000, 3.8977]], "species": ["Ni", "Mo", "O", "O", "O"], "fractional_positions": [[0.5000, 0.5000, 0.5000], [0.0000, 0.0000, 0.0000], [0.5000, 0.0000, 0.0000], [0.0000, 0.5000, 0.0000], [0.0000, 0.0000, 0.5000]]}